## one
! YZn2W | Alexandria | PBEsol | relaxed; values from VASP
&SYSTEM
  ibrav = 0, nat = 4, ntyp = 3
/
ATOMIC_SPECIES
W 183.84 W.upf
Y 88.91 Y.upf
Zn 65.41 Zn.upf
ATOMIC_POSITIONS crystal
W 0.0000 0.0000 0.0000
Y 0.5000 0.5000 0.5000
Zn 0.2500 0.2500 0.2500
Zn 0.7500 0.7500 0.7500
CELL_PARAMETERS angstrom
-1.5975 4.2631 0.7182
-4.4134 0.9871 -0.8882
-2.9233 0.8114 3.4696
! Calculated density, g/cm3: 9.7
! SG: Fm-3m, No. 225
! M_tot, Bohr magnetons per cell: 0.88

## two
! YZn2W | Alexandria | PBEsol | relaxed; values from VASP
&SYSTEM
  ibrav = 0, nat = 4, ntyp = 3
/
ATOMIC_SPECIES
W 183.84 W.upf
Y 88.91 Y.upf
Zn 65.41 Zn.upf
ATOMIC_POSITIONS crystal
W 0.5000 0.5000 0.0000
Y 0.2500 0.7500 0.5000
Zn 0.0000 0.0000 0.0000
Zn 0.7500 0.2500 0.5000
CELL_PARAMETERS angstrom
3.9507 0.0000 0.0000
0.0000 3.9507 0.0000
-1.9753 -1.9753 4.4715
! Calculated density, g/cm3: 9.6
! SG: I-4m2, No. 119
! M_tot, Bohr magnetons per cell: 0.00

Top of the stability list: one, leading by 59 meV/atom.

## one
! YZnW | Alexandria | PBEsol | relaxed; values from VASP
&SYSTEM
  ibrav = 0, nat = 3, ntyp = 3
/
ATOMIC_SPECIES
W 183.84 W.upf
Y 88.91 Y.upf
Zn 65.41 Zn.upf
ATOMIC_POSITIONS crystal
W 0.1664 0.0000 0.0000
Y 0.6666 0.3333 0.6667
Zn 0.1670 0.6667 0.3333
CELL_PARAMETERS angstrom
2.8439 0.0000 0.0000
0.0000 4.7655 0.0000
0.0000 -2.3827 4.1270
! Calculated density, g/cm3: 10.0
! SG: P-6m2, No. 187
! M_tot, Bohr magnetons per cell: 0.00

## two
! YZnW | Alexandria | PBEsol | relaxed; values from VASP
&SYSTEM
  ibrav = 0, nat = 3, ntyp = 3
/
ATOMIC_SPECIES
W 183.84 W.upf
Y 88.91 Y.upf
Zn 65.41 Zn.upf
ATOMIC_POSITIONS crystal
W 0.0000 0.0000 0.0000
Y 0.5000 0.5000 0.5000
Zn 0.2500 0.2500 0.2500
CELL_PARAMETERS angstrom
4.4398 0.0000 0.0000
2.2199 3.8450 0.0000
2.2199 1.2817 3.6251
! Calculated density, g/cm3: 9.1
! SG: F-43m, No. 216
! M_tot, Bohr magnetons per cell: 0.00

Top of the stability list: one, leading by 388 meV/atom.

## one
! YZrW | Alexandria | PBEsol | relaxed; values from VASP
&SYSTEM
  ibrav = 0, nat = 3, ntyp = 3
/
ATOMIC_SPECIES
W 183.84 W.upf
Y 88.91 Y.upf
Zr 91.22 Zr.upf
ATOMIC_POSITIONS crystal
W 0.2500 0.2500 0.2500
Y 0.0000 0.0000 0.0000
Zr 0.5000 0.5000 0.5000
CELL_PARAMETERS angstrom
-0.0761 0.1154 4.6457
2.2231 -3.2700 2.4426
3.8545 1.0813 2.3612
! Calculated density, g/cm3: 8.5
! SG: F-43m, No. 216
! M_tot, Bohr magnetons per cell: 0.00

## two
! YZrW | Alexandria | PBEsol | relaxed; values from VASP
&SYSTEM
  ibrav = 0, nat = 3, ntyp = 3
/
ATOMIC_SPECIES
W 183.84 W.upf
Y 88.91 Y.upf
Zr 91.22 Zr.upf
ATOMIC_POSITIONS crystal
W 0.0010 0.0010 0.0019
Y 0.6636 0.6636 0.3271
Zr 0.3355 0.3355 0.6709
CELL_PARAMETERS angstrom
2.9032 0.0000 0.0000
0.0000 4.9212 0.0000
-1.4516 -2.4606 4.3223
! Calculated density, g/cm3: 9.8
! SG: Imm2, No. 44
! M_tot, Bohr magnetons per cell: 0.00

Top of the stability list: two, leading by 259 meV/atom.

## one
! ZrZn2W | Alexandria | PBEsol | relaxed; values from VASP
&SYSTEM
  ibrav = 0, nat = 4, ntyp = 3
/
ATOMIC_SPECIES
W 183.84 W.upf
Zn 65.41 Zn.upf
Zr 91.22 Zr.upf
ATOMIC_POSITIONS crystal
W 0.5000 0.5000 0.5000
Zn 0.9998 0.0000 0.7271
Zn 0.0002 0.0000 0.2729
Zr 0.5000 0.5000 0.0000
CELL_PARAMETERS angstrom
-2.4214 1.1728 -0.7922
-1.6043 -0.9737 3.4621
1.7046 5.0026 2.1968
! Calculated density, g/cm3: 10.7
! SG: Pmmm, No. 47
! M_tot, Bohr magnetons per cell: 0.00

## two
! ZrZn2W | Alexandria | PBEsol | relaxed; values from VASP
&SYSTEM
  ibrav = 0, nat = 4, ntyp = 3
/
ATOMIC_SPECIES
W 183.84 W.upf
Zn 65.41 Zn.upf
Zr 91.22 Zr.upf
ATOMIC_POSITIONS crystal
W 0.5000 0.5000 0.7676
Zn 0.0000 0.0000 0.9962
Zn 0.5000 0.5000 0.2330
Zr 0.0000 0.0000 0.5031
CELL_PARAMETERS angstrom
-2.4537 -1.2240 -0.4552
1.1700 -0.9395 -3.7804
2.1493 -5.0197 1.9127
! Calculated density, g/cm3: 10.3
! SG: Pmm2, No. 25
! M_tot, Bohr magnetons per cell: 0.00

## three
! ZrZn2W | Alexandria | PBEsol | relaxed; values from VASP
&SYSTEM
  ibrav = 0, nat = 4, ntyp = 3
/
ATOMIC_SPECIES
W 183.84 W.upf
Zn 65.41 Zn.upf
Zr 91.22 Zr.upf
ATOMIC_POSITIONS crystal
W 0.0000 0.0000 0.0000
Zn 0.2545 0.2545 0.2364
Zn 0.7455 0.7455 0.7636
Zr 0.5000 0.5000 0.5000
CELL_PARAMETERS angstrom
2.8174 0.0000 0.0000
1.4087 2.4399 0.0000
1.4087 0.8133 9.4494
! Calculated density, g/cm3: 10.4
! SG: R-3m, No. 166
! M_tot, Bohr magnetons per cell: 0.00

## four
! ZrZn2W | Alexandria | PBEsol | relaxed; values from VASP
&SYSTEM
  ibrav = 0, nat = 4, ntyp = 3
/
ATOMIC_SPECIES
W 183.84 W.upf
Zn 65.41 Zn.upf
Zr 91.22 Zr.upf
ATOMIC_POSITIONS crystal
W 0.2630 0.7630 0.5261
Zn 0.0091 0.0091 0.0181
Zn 0.7301 0.2301 0.4603
Zr 0.4977 0.4977 0.9955
CELL_PARAMETERS angstrom
2.9316 0.0000 0.0000
0.0000 4.7407 0.0000
-1.4658 -2.3704 4.5983
! Calculated density, g/cm3: 10.5
! SG: Imm2, No. 44
! M_tot, Bohr magnetons per cell: 0.00

Top of the stability list: one, leading by 114 meV/atom.

## one
! Y | Alexandria | PBEsol | relaxed; values from VASP
&SYSTEM
  ibrav = 0, nat = 3, ntyp = 1
/
ATOMIC_SPECIES
Y 88.91 Y.upf
ATOMIC_POSITIONS crystal
Y 0.5007 0.6667 0.3333
Y 0.0000 0.0000 0.0000
Y 0.4993 0.3333 0.6667
CELL_PARAMETERS angstrom
-2.5558 -2.1069 -0.9678
3.0722 -1.7796 -4.2390
0.2731 -2.5754 4.8854
! Calculated density, g/cm3: 4.8
! SG: P6/mmm, No. 191
! M_tot, Bohr magnetons per cell: 0.00

## two
! Y | Alexandria | PBEsol | relaxed; values from VASP
&SYSTEM
  ibrav = 0, nat = 3, ntyp = 1
/
ATOMIC_SPECIES
Y 88.91 Y.upf
ATOMIC_POSITIONS crystal
Y 0.0000 0.0000 0.0000
Y 0.2219 0.2219 0.2219
Y 0.7781 0.7781 0.7781
CELL_PARAMETERS angstrom
8.7014 -0.0102 -0.0061
7.9870 3.4529 -0.0061
7.9870 1.6476 3.0344
! Calculated density, g/cm3: 4.8
! SG: R-3m, No. 166
! M_tot, Bohr magnetons per cell: 0.00

## three
! Y | Alexandria | PBEsol | relaxed; values from VASP
&SYSTEM
  ibrav = 0, nat = 1, ntyp = 1
/
ATOMIC_SPECIES
Y 88.91 Y.upf
ATOMIC_POSITIONS crystal
Y 0.0000 0.5000 0.5000
CELL_PARAMETERS angstrom
3.4929 -0.1317 -0.2007
-1.6221 3.0962 0.2007
-1.6221 -1.0489 2.9200
! Calculated density, g/cm3: 4.9
! SG: I4/mmm, No. 139
! M_tot, Bohr magnetons per cell: 0.00

## four
! Y | Alexandria | PBEsol | relaxed; values from VASP
&SYSTEM
  ibrav = 0, nat = 4, ntyp = 1
/
ATOMIC_SPECIES
Y 88.91 Y.upf
ATOMIC_POSITIONS crystal
Y 0.0000 0.1374 0.2747
Y 0.0000 0.8626 0.7253
Y 0.5000 0.6374 0.2747
Y 0.5000 0.3626 0.7253
CELL_PARAMETERS angstrom
3.6160 0.0000 0.0000
0.0000 5.6663 0.0000
0.0000 -2.8331 6.0981
! Calculated density, g/cm3: 4.7
! SG: Fmmm, No. 69
! M_tot, Bohr magnetons per cell: 0.00

Top of the stability list: two, leading by 20 meV/atom.

## one
! Y4Zn | Alexandria | PBEsol | relaxed; values from VASP
&SYSTEM
  ibrav = 0, nat = 10, ntyp = 2
/
ATOMIC_SPECIES
Y 88.91 Y.upf
Zn 65.41 Zn.upf
ATOMIC_POSITIONS crystal
Y 0.1480 0.2961 0.0743
Y 0.5820 0.1639 0.8388
Y 0.9220 0.8440 0.6594
Y 0.3479 0.6958 0.4252
Y 0.8520 0.7039 0.9257
Y 0.6521 0.3042 0.5748
Y 0.0780 0.1560 0.3406
Y 0.4180 0.8361 0.1612
Zn 0.7470 0.4940 0.2503
Zn 0.2530 0.5060 0.7497
CELL_PARAMETERS angstrom
-3.5087 -0.2944 0.6988
2.3784 -5.9331 0.2228
2.2424 1.8943 12.0576
! Calculated density, g/cm3: 5.1
! SG: C2/m, No. 12
! M_tot, Bohr magnetons per cell: 0.00

## two
! Y4Zn | Alexandria | PBEsol | relaxed; values from VASP
&SYSTEM
  ibrav = 0, nat = 5, ntyp = 2
/
ATOMIC_SPECIES
Y 88.91 Y.upf
Zn 65.41 Zn.upf
ATOMIC_POSITIONS crystal
Y 0.0000 0.0000 0.5000
Y 0.0000 0.5000 0.0000
Y 0.5000 0.0000 0.0000
Y 0.5000 0.5000 0.5000
Zn 0.0000 0.0000 0.0000
CELL_PARAMETERS angstrom
5.8192 0.0000 0.0000
-1.9397 5.4864 0.0000
-1.9397 -2.7432 4.7513
! Calculated density, g/cm3: 4.6
! SG: Im-3m, No. 229
! M_tot, Bohr magnetons per cell: 0.04

Top of the stability list: one, leading by 495 meV/atom.

## one
! YZr | Alexandria | PBEsol | relaxed; values from VASP
&SYSTEM
  ibrav = 0, nat = 4, ntyp = 2
/
ATOMIC_SPECIES
Y 88.91 Y.upf
Zr 91.22 Zr.upf
ATOMIC_POSITIONS crystal
Y 0.6741 0.7500 0.3483
Y 0.3259 0.2500 0.6517
Zr 0.0525 0.2500 0.1051
Zr 0.9475 0.7500 0.8949
CELL_PARAMETERS angstrom
3.3402 0.0000 0.0000
0.0000 5.1221 0.0000
-1.6701 0.0000 6.1532
! Calculated density, g/cm3: 5.7
! SG: Cmcm, No. 63
! M_tot, Bohr magnetons per cell: 0.00

## two
! YZr | Alexandria | PBEsol | relaxed; values from VASP
&SYSTEM
  ibrav = 0, nat = 6, ntyp = 2
/
ATOMIC_SPECIES
Y 88.91 Y.upf
Zr 91.22 Zr.upf
ATOMIC_POSITIONS crystal
Y 0.0060 0.0119 0.9993
Y 0.3849 0.7697 0.2809
Y 0.3309 0.6619 0.6641
Zr 0.6604 0.3209 0.3315
Zr 0.0678 0.1357 0.6138
Zr 0.7166 0.4333 0.9439
CELL_PARAMETERS angstrom
3.3361 0.0000 0.0000
-1.6681 6.1575 0.0008
0.0000 -1.8169 7.5788
! Calculated density, g/cm3: 5.8
! SG: Cm, No. 8
! M_tot, Bohr magnetons per cell: 0.00

## three
! YZr | Alexandria | PBEsol | relaxed; values from VASP
&SYSTEM
  ibrav = 0, nat = 2, ntyp = 2
/
ATOMIC_SPECIES
Y 88.91 Y.upf
Zr 91.22 Zr.upf
ATOMIC_POSITIONS crystal
Y 0.0000 0.0000 0.0000
Zr 0.6667 0.3333 0.5000
CELL_PARAMETERS angstrom
-2.9251 -0.6657 1.4999
1.5766 -2.3959 -1.7387
2.5903 -1.4835 4.3929
! Calculated density, g/cm3: 5.8
! SG: P-6m2, No. 187
! M_tot, Bohr magnetons per cell: 0.00

Top of the stability list: one, leading by 44 meV/atom.

## one
! Zr3Zn5 | Alexandria | PBEsol | relaxed; values from VASP
&SYSTEM
  ibrav = 0, nat = 8, ntyp = 2
/
ATOMIC_SPECIES
Zn 65.41 Zn.upf
Zr 91.22 Zr.upf
ATOMIC_POSITIONS crystal
Zn 0.0000 0.0258 0.0203
Zn 0.5000 0.0925 0.7869
Zn 0.0000 0.2559 0.4796
Zn 0.5000 0.4170 0.2501
Zn 0.5000 0.5558 0.7132
Zr 0.0000 0.4822 0.9734
Zr 0.0000 0.7590 0.5265
Zr 0.5000 0.9118 0.2500
CELL_PARAMETERS angstrom
-1.3204 -3.1419 -2.5399
5.3244 -2.2007 -0.0455
-3.8965 -1.9813 4.4764
! Calculated density, g/cm3: 7.3
! SG: Amm2, No. 38
! M_tot, Bohr magnetons per cell: 0.00

## two
! Zr3Zn5 | Alexandria | PBEsol | relaxed; values from VASP
&SYSTEM
  ibrav = 0, nat = 8, ntyp = 2
/
ATOMIC_SPECIES
Zn 65.41 Zn.upf
Zr 91.22 Zr.upf
ATOMIC_POSITIONS crystal
Zn 0.6173 0.1173 0.2346
Zn 0.5000 0.5000 0.0000
Zn 0.3827 0.8827 0.7654
Zn 0.1173 0.6173 0.2346
Zn 0.8827 0.3827 0.7654
Zr 0.2564 0.2564 0.5128
Zr 0.0000 0.0000 0.0000
Zr 0.7436 0.7436 0.4872
CELL_PARAMETERS angstrom
-2.2641 3.4095 1.6907
-3.3841 -0.9037 -2.7092
0.1482 -5.3679 5.2243
! Calculated density, g/cm3: 7.5
! SG: I4/mmm, No. 139
! M_tot, Bohr magnetons per cell: 0.00

Top of the stability list: two, leading by 34 meV/atom.

## one
! Zr3Zn2 | Alexandria | PBEsol | relaxed; values from VASP
&SYSTEM
  ibrav = 0, nat = 10, ntyp = 2
/
ATOMIC_SPECIES
Zn 65.41 Zn.upf
Zr 91.22 Zr.upf
ATOMIC_POSITIONS crystal
Zn 0.5507 0.1099 0.9018
Zn 0.2082 0.6490 0.0982
Zn 0.8990 0.9582 0.5982
Zn 0.3599 0.3007 0.4018
Zr 0.4270 0.5375 0.8003
Zr 0.7373 0.6268 0.1997
Zr 0.8768 0.4873 0.6997
Zr 0.7875 0.1770 0.3003
Zr 0.0769 0.0769 0.0000
Zr 0.3269 0.8269 0.5000
CELL_PARAMETERS angstrom
5.6211 0.0045 0.0000
-2.7745 4.8887 0.0000
-1.4233 -2.4466 6.8744
! Calculated density, g/cm3: 7.1
! SG: Fdd2, No. 43
! M_tot, Bohr magnetons per cell: 0.00

## two
! Zr3Zn2 | Alexandria | PBEsol | relaxed; values from VASP
&SYSTEM
  ibrav = 0, nat = 5, ntyp = 2
/
ATOMIC_SPECIES
Zn 65.41 Zn.upf
Zr 91.22 Zr.upf
ATOMIC_POSITIONS crystal
Zn 0.6019 0.6019 0.1944
Zn 0.3981 0.3981 0.8056
Zr 0.0000 0.0000 0.0000
Zr 0.7970 0.7970 0.6091
Zr 0.2030 0.2030 0.3909
CELL_PARAMETERS angstrom
-2.1145 1.5001 -1.9149
-0.4973 -1.0680 -3.0001
-8.9336 -6.4969 2.0624
! Calculated density, g/cm3: 6.7
! SG: R-3m, No. 166
! M_tot, Bohr magnetons per cell: 0.00

Top of the stability list: one, leading by 112 meV/atom.

## one
! Zr3Zn2 | Alexandria | PBEsol | relaxed; values from VASP
&SYSTEM
  ibrav = 0, nat = 20, ntyp = 2
/
ATOMIC_SPECIES
Zr 91.22 Zr.upf
Zn 65.41 Zn.upf
ATOMIC_POSITIONS crystal
Zr 0.2500 0.5000 0.0000
Zr 0.7500 0.5000 0.0000
Zr 0.2500 0.0000 0.5000
Zr 0.7500 0.0000 0.5000
Zr 0.0000 0.7079 0.2921
Zr 0.0000 0.2921 0.7079
Zr 0.5000 0.7921 0.7921
Zr 0.5000 0.2079 0.2079
Zr 0.0000 0.1500 0.1500
Zr 0.0000 0.8500 0.8500
Zr 0.5000 0.6500 0.3500
Zr 0.5000 0.3500 0.6500
Zn 0.1934 0.3805 0.3805
Zn 0.8066 0.6195 0.6195
Zn 0.1934 0.6195 0.6195
Zn 0.6934 0.8805 0.1195
Zn 0.3066 0.8805 0.1195
Zn 0.8066 0.3805 0.3805
Zn 0.3066 0.1195 0.8805
Zn 0.6934 0.1195 0.8805
CELL_PARAMETERS angstrom
-3.8655 1.2780 5.2963
4.8073 -3.7028 4.4021
3.7778 6.3587 1.2229
! Calculated density, g/cm3: 7.2
! SG: P4_2/mnm, No. 136
! M_tot, Bohr magnetons per cell: 0.01

## two
! Zr3Zn2 | Alexandria | PBEsol | relaxed; values from VASP
&SYSTEM
  ibrav = 0, nat = 10, ntyp = 2
/
ATOMIC_SPECIES
Zn 65.41 Zn.upf
Zr 91.22 Zr.upf
ATOMIC_POSITIONS crystal
Zn 0.7054 0.6361 0.9110
Zn 0.9080 0.0229 0.3163
Zn 0.0920 0.9771 0.6837
Zn 0.2946 0.3639 0.0890
Zr 0.1059 0.4657 0.7121
Zr 0.2937 0.8599 0.0874
Zr 0.4830 0.2436 0.4662
Zr 0.7063 0.1401 0.9126
Zr 0.8941 0.5343 0.2879
Zr 0.5170 0.7564 0.5338
CELL_PARAMETERS angstrom
4.6840 0.1749 0.0066
-0.2183 5.7801 0.1455
-2.3114 -1.1465 6.9020
! Calculated density, g/cm3: 7.1
! SG: C2/m, No. 12
! M_tot, Bohr magnetons per cell: 0.00

Top of the stability list: one, leading by 15 meV/atom.